[1]
VASP calculation (PBE) on a geometry-optimized CaNpN3 structure.

a = 8.503 Å, b = 9.321 Å, c = 7.333 Å
α = 90.00°, β = 90.12°, γ = 90.00°
Space group C2/c (No. 15)
Inequivalent atoms, fractional coordinates:
Ca: 0.211 0.001 0.498 (multiplicity 8)
Np: 0.000 0.258 0.750 (multiplicity 4)
Np: 0.000 0.328 0.250 (multiplicity 4)
N: 0.000 0.452 0.568 (multiplicity 8)
N: 0.001 0.166 0.000 (multiplicity 8)
N: 0.229 0.330 0.251 (multiplicity 8)

[2]
VASP calculation (PBE) on a geometry-optimized Ca3Np2N4 structure.

a = 11.734 Å, b = 3.522 Å, c = 9.478 Å
α = 90.00°, β = 127.67°, γ = 90.00°
Space group C2/m (No. 12)
Inequivalent atoms, fractional coordinates:
Ca: 0.000 0.000 0.000 (multiplicity 2)
Ca: 0.125 0.500 0.789 (multiplicity 4)
Np: 0.222 0.500 0.383 (multiplicity 4)
N: 0.062 0.000 0.289 (multiplicity 4)
N: 0.204 0.500 0.153 (multiplicity 4)

Taking the records one at a time from the top gives energy relative to the elements, uncorrected values of -4.46 -8.07 eV per formula unit.
Taking the records one at a time from the top gives density of states at the Fermi level values of 0.722 0.467 states/eV/atom.
Taking the records one at a time from the top gives VASP energy values of -8.875 -8.140 eV/atom.